A geometry-optimized RbCd2RhAu structure. Source: Alexandria, functional GGA-PBE.

## Properties
Electronic total energy = -1.948 eV per atom
Calculated volume = 33.54 Å³/atom
Energy of formation from the pure elements = 0.737 eV/atom

a b c (Å): 5.273 5.273 6.033
angles (deg): 90.00 90.00 90.00
Fractional positions:
1 Rb 0.000 0.000 0.000
2 Cd 0.000 0.500 0.500
3 Cd 0.500 0.000 0.500
4 Rh 0.500 0.500 0.000
5 Au 0.000 0.000 0.500

***

A geometry-optimized Rb2Cd4SbAu3 structure. Source: Alexandria, functional GGA-PBE.

## Properties
Electronic total energy = -2.163 eV per atom
Calculated volume = 28.46 Å³/atom
ΔE_f (raw) = -0.21 eV/atom

a b c (Å): 4.888 4.888 11.914
angles (deg): 90.00 90.00 90.00
Fractional positions:
1 Rb 0.000 0.500 0.249
2 Rb 0.500 0.000 0.751
3 Cd 0.000 0.000 0.000
4 Cd 0.000 0.500 0.637
5 Cd 0.500 0.000 0.363
6 Cd 0.500 0.500 0.000
7 Sb 0.000 0.000 0.500
8 Au 0.000 0.500 0.870
9 Au 0.500 0.000 0.130
10 Au 0.500 0.500 0.500

***

A geometry-optimized Rb2CdSb4Au3 structure. Source: Alexandria, functional GGA-PBE.

## Properties
Electronic total energy = -3.194 eV per atom
Calculated volume = 28.36 Å³/atom
ΔE_f (raw) = -0.28 eV/atom

a b c (Å): 4.943 4.943 11.605
angles (deg): 90.00 90.00 90.00
Fractional positions:
1 Rb 0.000 0.500 0.248
2 Rb 0.500 0.000 0.752
3 Cd 0.500 0.500 0.000
4 Sb 0.000 0.000 0.500
5 Sb 0.000 0.500 0.865
6 Sb 0.500 0.000 0.135
7 Sb 0.500 0.500 0.500
8 Au 0.000 0.000 0.000
9 Au 0.000 0.500 0.625
10 Au 0.500 0.000 0.375